Entry 1:
Crystalline MnCrTe2 at its relaxed geometry, computed with PBE.

Calculated values
**Space group**: R3m
**M_tot**: 1.0 μB per cell

a = 10.125 Å, b = 10.125 Å, c = 10.125 Å
α = 18.90°, β = 18.90°, γ = 18.90°
Element x y z (fractional)
Mn (0.000, 0.000, 0.000)
Cr (0.275, 0.275, 0.275)
Te (0.544, 0.544, 0.544)
Te (0.733, 0.733, 0.733)


Entry 2:
Crystalline Sr2PtSe at its relaxed geometry, computed with PBE.

Calculated values
**Space group**: R3m
**M_tot**: 0.0 μB per cell

a = 8.217 Å, b = 8.217 Å, c = 8.217 Å
α = 32.29°, β = 32.29°, γ = 32.29°
Element x y z (fractional)
Sr (0.000, 0.000, 0.000)
Sr (0.481, 0.481, 0.481)
Pt (0.733, 0.733, 0.733)
Se (0.874, 0.874, 0.874)


Entry 3:
Crystalline CaHo2ErBi4 at its relaxed geometry, computed with PBE.

Calculated values
**Energy relative to the elements**: -0.78 eV/atom
**Space group**: P2/m
**M_tot**: 0.0 μB per cell

a = 7.803 Å, b = 4.460 Å, c = 7.810 Å
α = 90.00°, β = 109.08°, γ = 90.00°
Element x y z (fractional)
Ca (0.000, 0.000, 0.000)
Ho (0.500, 0.000, 0.500)
Ho (0.500, 0.500, 0.000)
Er (0.000, 0.500, 0.500)
Bi (0.252, 0.000, 0.747)
Bi (0.256, 0.500, 0.257)
Bi (0.744, 0.500, 0.743)
Bi (0.748, 0.000, 0.253)


Entry 4:
Crystalline CsSmF4 at its relaxed geometry, computed with PBE.

Calculated values
**Energy above the most stable polymorph in this dataset**: 0 meV per atom
**Space group**: Pnma
**M_tot**: 0.0 μB per cell

a = 6.488 Å, b = 3.782 Å, c = 17.027 Å
α = 90.00°, β = 90.00°, γ = 90.00°
Element x y z (fractional)
Cs (0.230, 0.250, 0.197)
Cs (0.270, 0.750, 0.697)
Cs (0.730, 0.250, 0.303)
Cs (0.770, 0.750, 0.803)
Sm (0.248, 0.750, 0.447)
Sm (0.252, 0.250, 0.947)
Sm (0.748, 0.750, 0.053)
Sm (0.752, 0.250, 0.553)
F (0.002, 0.750, 0.950)
F (0.109, 0.250, 0.826)
F (0.118, 0.250, 0.381)
F (0.128, 0.250, 0.536)
F (0.372, 0.750, 0.036)
F (0.382, 0.750, 0.881)
F (0.391, 0.750, 0.326)
F (0.498, 0.250, 0.450)
F (0.502, 0.750, 0.550)
F (0.609, 0.250, 0.674)
F (0.618, 0.250, 0.119)
F (0.628, 0.250, 0.964)
F (0.872, 0.750, 0.464)
F (0.882, 0.750, 0.619)
F (0.891, 0.750, 0.174)
F (0.998, 0.250, 0.050)


no.,DFT total energy (eV/atom)
1,-6.039
2,-4.326
3,-4.689
4,-5.831